Compound: MgClF2
Source: Alexandria via LeMat-Bulk
Functional: SCAN
Structure: single point on PBEsol structure

Computed properties:
Raw formation energy ... -2537 meV per atom
Volume ... 70 Å³ per cell

Cell: 2.9767 2.9767 9.2714 Å, 80.76 80.76 60.00°
Site moments in Bohr magnetons follow the coordinates.
Positions (direct):
F  0.8690  0.8690  0.3929  0.00
F  0.1310  0.1310  0.6071  0.00
Cl  0.0000  0.0000  0.0000  0.38
Mg  0.5000  0.5000  0.5000  0.00